Density functional theory data (GGA-PBE) for Ca2ReSe after structural relaxation.

Unit cell a=3.7013 b=3.7013 c=8.7880 alpha=82.99 beta=82.99 gamma=49.26
Sites, in units of the cell vectors:
1 Se 0.2500 0.2500 0.2500
2 Re 0.7500 0.7500 0.7500
3 Ca 0.9931 0.9931 0.0098
4 Ca 0.5069 0.5069 0.4902

Output
Total magnetization ... 0.2 μB per formula unit
Calculated total energy ... -19.696 eV for the cell shown

---

Density functional theory data (GGA-PBE) for Mg5Cd2InAg2 after structural relaxation.

Unit cell a=4.2250 b=10.2362 c=10.2362 alpha=90.00 beta=90.00 gamma=90.00
Sites, in units of the cell vectors:
1 Mg 0.5000 0.7985 0.9180
2 Mg 0.5000 0.5000 0.0000
3 Mg 0.5000 0.7015 0.4180
4 Mg 0.5000 0.2015 0.0820
5 Mg 0.5000 0.4180 0.2985
6 Mg 0.5000 0.0820 0.7985
7 Mg 0.5000 0.2985 0.5820
8 Mg 0.5000 0.5820 0.7015
9 Mg 0.5000 0.9180 0.2015
10 Mg 0.5000 0.0000 0.5000
11 Ag 0.0000 0.3761 0.1239
12 Ag 0.0000 0.1239 0.6239
13 Ag 0.0000 0.6239 0.8761
14 Ag 0.0000 0.8761 0.3761
15 Cd 0.0000 0.8279 0.6721
16 Cd 0.0000 0.3279 0.8279
17 Cd 0.0000 0.1721 0.3279
18 Cd 0.0000 0.6721 0.1721
19 In 0.0000 0.0000 0.0000
20 In 0.0000 0.5000 0.5000

Output
Total magnetization ... 0.0 μB per formula unit
ΔE_f ... -65 meV/atom

---

Density functional theory data (GGA-PBE) for PrSc2Ga9 after structural relaxation.

Unit cell a=4.2219 b=4.2219 c=12.6432 alpha=90.00 beta=90.00 gamma=90.00
Sites, in units of the cell vectors:
1 Ga 0.5000 0.0000 0.8193
2 Ga 0.5000 0.0000 0.1807
3 Ga 0.5000 0.5000 0.0000
4 Ga 0.5000 0.5000 0.3367
5 Ga 0.5000 0.0000 0.5000
6 Ga 0.0000 0.5000 0.5000
7 Ga 0.5000 0.5000 0.6633
8 Ga 0.0000 0.5000 0.8193
9 Ga 0.0000 0.5000 0.1807
10 Sc 0.0000 0.0000 0.3413
11 Sc 0.0000 0.0000 0.6587
12 Pr 0.0000 0.0000 0.0000

Output
Total magnetization ... 0.0 μB per formula unit
ΔE_f ... -492 meV/atom

---

> What is the total magnetization in the second record?

0.0 μB per formula unit

---

> What is the total magnetization in the first record?

0.2 μB per formula unit

---

> Which formula does entry 1 have?

Ca2ReSe